1.
Below is an optimized crystal structure of Nb2Tl3PbO8, with properties calculated at the PBE level.

Cell lengths 6.3197, 6.3197, 7.8601 Å; angles 90.00, 90.00, 120.00 degrees
Space group P-3m1 (No. 164)
Unique sites:
Nb (0.3333, 0.6667, 0.2316) x2
Tl (0.0000, 0.0000, 0.0000) x1
Tl (0.3333, 0.6667, 0.6925) x2
Pb (0.0000, 0.0000, 0.5000) x1
O (0.1687, 0.3374, 0.3061) x6
O (0.3333, 0.6667, 0.9982) x2

formation energy without anion corrections	-1.640	eV per atom


2.
Below is an optimized crystal structure of YAu3Se, with properties calculated at the PBE level.

Cell lengths 4.992, 4.992, 4.992 Å; angles 90.00, 90.00, 90.00 degrees
Space group Pm-3m (No. 221)
Unique sites:
Y (0.000, 0.000, 0.000) x1
Au (0.000, 0.500, 0.500) x3
Se (0.500, 0.500, 0.500) x1

formation energy without anion corrections	0.100	eV per atom


3.
Below is an optimized crystal structure of ZnIrAu, with properties calculated at the PBE level.

Cell lengths 2.8421, 2.8421, 6.6595 Å; angles 90.00, 90.00, 120.00 degrees
Space group P3m1 (No. 156)
Unique sites:
Zn (0.0000, 0.0000, 0.0000) x1
Ir (0.3333, 0.6667, 0.6957) x1
Au (0.6667, 0.3333, 0.3328) x1

uncorrected energy	-4.46	eV/atom


4.
Below is an optimized crystal structure of BaAgCl2, with properties calculated at the PBE level.

Cell lengths 3.822, 3.819, 10.525 Å; angles 90.00, 92.07, 90.00 degrees
Space group P2/m (No. 10)
Unique sites:
Ba (0.000, 0.000, 0.000) x1
Ag (0.500, 0.000, 0.500) x1
Cl (0.484, 0.500, 0.841) x2

formation energy without anion corrections	-1.254	eV per atom


5.
Below is an optimized crystal structure of MnTcBr2, with properties calculated at the PBE level.

Cell lengths 6.309, 6.309, 6.309 Å; angles 90.00, 90.00, 90.00 degrees
Space group Fm-3m (No. 225)
Unique sites:
Mn (0.000, 0.000, 0.000) x4
Tc (0.000, 0.000, 0.500) x4
Br (0.250, 0.250, 0.250) x8

formation energy without anion corrections	1.108	eV per atom


6.
Below is an optimized crystal structure of Ti2Co2Ge, with properties calculated at the PBE level.

Cell lengths 6.781, 6.781, 2.953 Å; angles 90.00, 90.00, 90.00 degrees
Space group P4/mbm (No. 127)
Unique sites:
Ti (0.171, 0.329, 0.000) x4
Co (0.130, 0.630, 0.500) x4
Ge (0.000, 0.000, 0.500) x2

uncorrected energy	-7.34	eV/atom


7.
Below is an optimized crystal structure of U3Si4Ir2, with properties calculated at the PBE level.

Cell lengths 10.513, 4.151, 7.984 Å; angles 90.00, 105.89, 90.00 degrees
Space group C2/m (No. 12)
Unique sites:
U (0.000, 0.000, 0.000) x2
U (0.173, 0.500, 0.663) x4
Si (0.040, 0.000, 0.378) x4
Si (0.224, 0.500, 0.054) x4
Ir (0.114, 0.500, 0.283) x4

formation energy without anion corrections	-0.564	eV per atom


8.
Below is an optimized crystal structure of ScCrFeNi2, with properties calculated at the PBE level.

Cell lengths 4.376, 4.376, 4.038 Å; angles 90.00, 90.00, 90.00 degrees
Space group P4/mmm (No. 123)
Unique sites:
Sc (0.000, 0.000, 0.000) x1
Cr (0.500, 0.500, 0.000) x1
Fe (0.500, 0.500, 0.500) x1
Ni (0.000, 0.500, 0.500) x2

uncorrected energy	-6.65	eV/atom